An optimized crystal structure of Rb2GaHBr6, computed with PBE-GGA.

a = 7.140 Å, b = 7.140 Å, c = 11.514 Å
α = 90.00°, β = 90.00°, γ = 90.00°
Space group I4/mmm (No. 139)
Symmetry-distinct sites (fractional):
Rb (0.000, 0.500, 0.250) [4 per cell]
Ga (0.000, 0.000, 0.000) [2 per cell]
H (0.000, 0.000, 0.500) [2 per cell]
Br (0.000, 0.000, 0.217) [4 per cell]
Br (0.238, 0.238, 0.500) [8 per cell]

Final energy, eV per atom: -2.64
Total magnetic moment, μB per formula unit: 0.00

***

An optimized crystal structure of RbGaHBr2, computed with PBE-GGA.

a = 5.790 Å, b = 5.790 Å, c = 3.837 Å
α = 90.00°, β = 90.00°, γ = 90.00°
Space group P4/mmm (No. 123)
Symmetry-distinct sites (fractional):
Rb (0.000, 0.000, 0.000) [1 per cell]
Ga (0.500, 0.500, 0.500) [1 per cell]
H (0.500, 0.500, 0.000) [1 per cell]
Br (0.000, 0.500, 0.500) [2 per cell]

Final energy, eV per atom: -2.93
Total magnetic moment, μB per formula unit: 0.00

***

An optimized crystal structure of GaHSBr2, computed with PBE-GGA.

a = 5.554 Å, b = 5.554 Å, c = 3.462 Å
α = 90.00°, β = 90.00°, γ = 90.00°
Space group P4/mmm (No. 123)
Symmetry-distinct sites (fractional):
Ga (0.000, 0.000, 0.000) [1 per cell]
H (0.500, 0.500, 0.000) [1 per cell]
S (0.500, 0.500, 0.500) [1 per cell]
Br (0.000, 0.500, 0.500) [2 per cell]

Final energy, eV per atom: -2.70
Total magnetic moment, μB per formula unit: 0.00

***

An optimized crystal structure of GaHSeBr2, computed with PBE-GGA.

a = 5.286 Å, b = 5.286 Å, c = 5.019 Å
α = 90.00°, β = 90.00°, γ = 90.00°
Space group P4/mmm (No. 123)
Symmetry-distinct sites (fractional):
Ga (0.000, 0.000, 0.000) [1 per cell]
H (0.500, 0.500, 0.500) [1 per cell]
Se (0.000, 0.000, 0.500) [1 per cell]
Br (0.000, 0.500, 0.000) [2 per cell]

ΔE to the lowest computed polymorph, meV/atom: 177
Final energy, eV per atom: -2.27
Total magnetic moment, μB per formula unit: 2.16

***

An optimized crystal structure of GaHSeBr2, computed with PBE-GGA.

a = 5.544 Å, b = 5.544 Å, c = 3.572 Å
α = 90.00°, β = 90.00°, γ = 90.00°
Space group P4/mmm (No. 123)
Symmetry-distinct sites (fractional):
Ga (0.000, 0.000, 0.000) [1 per cell]
H (0.500, 0.500, 0.500) [1 per cell]
Se (0.500, 0.500, 0.000) [1 per cell]
Br (0.000, 0.500, 0.500) [2 per cell]

ΔE to the lowest computed polymorph, meV/atom: 0
Final energy, eV per atom: -2.45
Total magnetic moment, μB per formula unit: 0.55

***

An optimized crystal structure of Ga2SiHBr, computed with PBE-GGA.

a = 5.641 Å, b = 5.641 Å, c = 3.297 Å
α = 90.00°, β = 90.00°, γ = 90.00°
Space group P4/mmm (No. 123)
Symmetry-distinct sites (fractional):
Ga (0.000, 0.500, 0.000) [2 per cell]
Si (0.000, 0.000, 0.500) [1 per cell]
H (0.500, 0.500, 0.500) [1 per cell]
Br (0.500, 0.500, 0.000) [1 per cell]

Final energy, eV per atom: -2.73
Total magnetic moment, μB per formula unit: 0.00

***

An optimized crystal structure of SrGaH4Br, computed with PBE-GGA.

a = 10.369 Å, b = 7.228 Å, c = 6.986 Å
α = 90.00°, β = 102.21°, γ = 90.00°
Space group C2/m (No. 12)
Symmetry-distinct sites (fractional):
Sr (0.225, 0.000, 0.152) [4 per cell]
Ga (0.121, 0.500, 0.249) [4 per cell]
H (0.033, 0.500, 0.772) [4 per cell]
H (0.166, 0.330, 0.125) [8 per cell]
H (0.198, 0.500, 0.471) [4 per cell]
Br (0.044, 0.000, 0.756) [4 per cell]

Final energy, eV per atom: -3.35
Total magnetic moment, μB per formula unit: 0.00

***

An optimized crystal structure of TlGaH2Br, computed with PBE-GGA.

a = 4.288 Å, b = 4.288 Å, c = 5.784 Å
α = 90.00°, β = 90.00°, γ = 90.00°
Space group P4/mmm (No. 123)
Symmetry-distinct sites (fractional):
Tl (0.000, 0.000, 0.000) [1 per cell]
Ga (0.500, 0.500, 0.500) [1 per cell]
H (0.000, 0.500, 0.500) [2 per cell]
Br (0.500, 0.500, 0.000) [1 per cell]

Final energy, eV per atom: -2.66
Total magnetic moment, μB per formula unit: 0.00

***

An optimized crystal structure of V2GaHBr, computed with PBE-GGA.

a = 5.004 Å, b = 5.004 Å, c = 3.466 Å
α = 90.00°, β = 90.00°, γ = 90.00°
Space group P4/mmm (No. 123)
Symmetry-distinct sites (fractional):
V (0.000, 0.500, 0.000) [2 per cell]
Ga (0.000, 0.000, 0.000) [1 per cell]
H (0.000, 0.000, 0.500) [1 per cell]
Br (0.500, 0.500, 0.500) [1 per cell]

Final energy, eV per atom: -4.47
Total magnetic moment, μB per formula unit: 5.93

***

An optimized crystal structure of Ga2HWBr, computed with PBE-GGA.

a = 5.316 Å, b = 5.316 Å, c = 3.440 Å
α = 90.00°, β = 90.00°, γ = 90.00°
Space group P4/mmm (No. 123)
Symmetry-distinct sites (fractional):
Ga (0.000, 0.500, 0.000) [2 per cell]
H (0.000, 0.000, 0.500) [1 per cell]
W (0.000, 0.000, 0.000) [1 per cell]
Br (0.500, 0.500, 0.500) [1 per cell]

Final energy, eV per atom: -4.26
Total magnetic moment, μB per formula unit: 1.23

***

An optimized crystal structure of HfGaBr6, computed with PBE-GGA.

a = 6.8376 Å, b = 6.8376 Å, c = 18.3127 Å
α = 90.00°, β = 90.00°, γ = 120.00°
Space group R-3 (No. 148, hexagonal axes)
Symmetry-distinct sites (fractional):
Hf (0.0000, 0.0000, 0.0000) [3 per cell]
Ga (0.0000, 0.0000, 0.5000) [3 per cell]
Br (0.0053, 0.6871, 0.0819) [18 per cell]

Final energy, eV per atom: -3.89
Total magnetic moment, μB per formula unit: 0.00
Uncorrected formation energy, eV/atom: -1.0124

***

An optimized crystal structure of HfGa3Br7, computed with PBE-GGA.

a = 11.517 Å, b = 9.754 Å, c = 7.803 Å
α = 90.00°, β = 115.08°, γ = 90.00°
Space group Cm (No. 8)
Symmetry-distinct sites (fractional):
Hf (0.000, 0.000, 0.000) [2 per cell]
Ga (0.482, 0.000, 0.926) [2 per cell]
Ga (0.488, 0.287, 0.496) [4 per cell]
Br (0.013, 0.500, 0.601) [2 per cell]
Br (0.137, 0.192, 0.227) [4 per cell]
Br (0.147, 0.000, 0.813) [2 per cell]
Br (0.340, 0.500, 0.157) [2 per cell]
Br (0.359, 0.308, 0.761) [4 per cell]

Final energy, eV per atom: -3.72
Total magnetic moment, μB per formula unit: 0.00
Uncorrected formation energy, eV/atom: -0.9224

***

An optimized crystal structure of HfGa6Br12, computed with PBE-GGA.

a = 12.7241 Å, b = 12.7241 Å, c = 14.3785 Å
α = 90.00°, β = 90.00°, γ = 120.00°
Space group R-3 (No. 148, hexagonal axes)
Symmetry-distinct sites (fractional):
Hf (0.0000, 0.0000, 0.0000) [3 per cell]
Ga (0.0230, 0.2632, 0.5932) [18 per cell]
Br (0.0052, 0.7700, 0.6045) [18 per cell]
Br (0.0331, 0.1794, 0.8903) [18 per cell]

Final energy, eV per atom: -3.25
Total magnetic moment, μB per formula unit: 0.00
Uncorrected formation energy, eV/atom: -0.7113

***

An optimized crystal structure of HfGa3Br, computed with PBE-GGA.

a = 5.421 Å, b = 5.421 Å, c = 5.421 Å
α = 90.00°, β = 90.00°, γ = 90.00°
Space group Pm-3m (No. 221)
Symmetry-distinct sites (fractional):
Hf (0.000, 0.000, 0.000) [1 per cell]
Ga (0.000, 0.000, 0.500) [3 per cell]
Br (0.500, 0.500, 0.500) [1 per cell]

ΔE to the lowest computed polymorph, meV/atom: 0
Final energy, eV per atom: -3.61
Total magnetic moment, μB per formula unit: 2.59
Uncorrected formation energy, eV/atom: 0.5296

***

An optimized crystal structure of Hf2GaBr, computed with PBE-GGA.

a = 6.801 Å, b = 6.801 Å, c = 6.801 Å
α = 90.00°, β = 90.00°, γ = 90.00°
Space group Fm-3m (No. 225)
Symmetry-distinct sites (fractional):
Hf (0.250, 0.250, 0.250) [8 per cell]
Ga (0.000, 0.000, 0.000) [4 per cell]
Br (0.000, 0.000, 0.500) [4 per cell]

ΔE to the lowest computed polymorph, meV/atom: 0
Final energy, eV per atom: -6.21
Total magnetic moment, μB per formula unit: 0.00
Uncorrected formation energy, eV/atom: -0.0542

***

An optimized crystal structure of Hf2GaBr, computed with PBE-GGA.

a = 4.257 Å, b = 4.257 Å, c = 19.797 Å
α = 90.00°, β = 90.00°, γ = 90.00°
Space group I-42d (No. 122)
Symmetry-distinct sites (fractional):
Hf (0.241, 0.250, 0.125) [8 per cell]
Ga (0.000, 0.000, 0.000) [4 per cell]
Br (0.000, 0.000, 0.500) [4 per cell]

ΔE to the lowest computed polymorph, meV/atom: 285
Final energy, eV per atom: -5.92
Total magnetic moment, μB per formula unit: 0.00
Uncorrected formation energy, eV/atom: 0.2310

***

An optimized crystal structure of Hf2GaBr8, computed with PBE-GGA.

a = 12.062 Å, b = 11.644 Å, c = 6.916 Å
α = 90.00°, β = 94.27°, γ = 90.00°
Space group C2/m (No. 12)
Symmetry-distinct sites (fractional):
Hf (0.175, 0.000, 0.325) [4 per cell]
Ga (0.000, 0.000, 0.000) [2 per cell]
Br (0.107, 0.203, 0.264) [8 per cell]
Br (0.133, 0.500, 0.771) [4 per cell]
Br (0.178, 0.000, 0.690) [4 per cell]

Final energy, eV per atom: -4.41
Total magnetic moment, μB per formula unit: 1.02
Uncorrected formation energy, eV/atom: -1.1050

***

An optimized crystal structure of HfGa3Br, computed with PBE-GGA.

a = 5.057 Å, b = 5.057 Å, c = 5.057 Å
α = 90.00°, β = 90.00°, γ = 90.00°
Space group Pm-3m (No. 221)
Symmetry-distinct sites (fractional):
Hf (0.000, 0.000, 0.000) [1 per cell]
Ga (0.000, 0.500, 0.500) [3 per cell]
Br (0.500, 0.500, 0.500) [1 per cell]

ΔE to the lowest computed polymorph, meV/atom: 333
Final energy, eV per atom: -3.28
Total magnetic moment, μB per formula unit: 0.00
Uncorrected formation energy, eV/atom: 0.8629

***

An optimized crystal structure of Hf2GaIBr, computed with PBE-GGA.

a = 5.199 Å, b = 5.199 Å, c = 5.189 Å
α = 90.00°, β = 90.00°, γ = 90.00°
Space group P4/mmm (No. 123)
Symmetry-distinct sites (fractional):
Hf (0.000, 0.500, 0.000) [2 per cell]
Ga (0.000, 0.000, 0.000) [1 per cell]
I (0.500, 0.500, 0.500) [1 per cell]
Br (0.000, 0.000, 0.500) [1 per cell]

Final energy, eV per atom: -4.57
Total magnetic moment, μB per formula unit: 0.00
Uncorrected formation energy, eV/atom: 0.6661

***

An optimized crystal structure of HfGa2IBr, computed with PBE-GGA.

a = 5.688 Å, b = 5.688 Å, c = 5.040 Å
α = 90.00°, β = 90.00°, γ = 90.00°
Space group P4/mmm (No. 123)
Symmetry-distinct sites (fractional):
Hf (0.000, 0.000, 0.000) [1 per cell]
Ga (0.000, 0.500, 0.500) [2 per cell]
I (0.500, 0.500, 0.000) [1 per cell]
Br (0.000, 0.000, 0.500) [1 per cell]

Final energy, eV per atom: -3.23
Total magnetic moment, μB per formula unit: 0.00
Uncorrected formation energy, eV/atom: 0.6127

***

An optimized crystal structure of HfInGaBr6, computed with PBE-GGA.

a = 7.5826 Å, b = 7.5826 Å, c = 13.4478 Å
α = 90.00°, β = 90.00°, γ = 120.00°
Space group P-31c (No. 163)
Symmetry-distinct sites (fractional):
Hf (0.3333, 0.6667, 0.2500) [2 per cell]
In (0.0000, 0.0000, 0.0000) [2 per cell]
Ga (0.3333, 0.6667, 0.7500) [2 per cell]
Br (0.0462, 0.3873, 0.1371) [12 per cell]

Final energy, eV per atom: -3.92
Total magnetic moment, μB per formula unit: 0.00
Uncorrected formation energy, eV/atom: -1.0632

***

An optimized crystal structure of HfInGa2Br8, computed with PBE-GGA.

a = 6.813 Å, b = 7.289 Å, c = 8.478 Å
α = 89.96°, β = 89.95°, γ = 87.70°
Space group P-1 (No. 2)
Symmetry-distinct sites (fractional):
Hf (0.000, 0.000, 0.000) [1 per cell]
In (0.000, 0.000, 0.500) [1 per cell]
Ga (0.500, 0.500, 0.256) [2 per cell]
Br (0.220, 0.700, 0.000) [2 per cell]
Br (0.221, 0.139, 0.224) [2 per cell]
Br (0.221, 0.139, 0.776) [2 per cell]
Br (0.261, 0.683, 0.500) [2 per cell]

Final energy, eV per atom: -3.58
Total magnetic moment, μB per formula unit: 0.00
Uncorrected formation energy, eV/atom: -0.9064

***

An optimized crystal structure of KHfGaBr6, computed with PBE-GGA.

a = 7.5954 Å, b = 7.5954 Å, c = 13.6942 Å
α = 90.00°, β = 90.00°, γ = 120.00°
Space group P-31c (No. 163)
Symmetry-distinct sites (fractional):
K (0.0000, 0.0000, 0.0000) [2 per cell]
Hf (0.3333, 0.6667, 0.2500) [2 per cell]
Ga (0.3333, 0.6667, 0.7500) [2 per cell]
Br (0.0466, 0.3885, 0.1391) [12 per cell]

Final energy, eV per atom: -4.00
Total magnetic moment, μB per formula unit: 0.00
Uncorrected formation energy, eV/atom: -1.3165

***

An optimized crystal structure of KHfGa2Br, computed with PBE-GGA.

a = 5.381 Å, b = 5.381 Å, c = 5.367 Å
α = 90.00°, β = 90.00°, γ = 90.00°
Space group P4/mmm (No. 123)
Symmetry-distinct sites (fractional):
K (0.000, 0.000, 0.000) [1 per cell]
Hf (0.500, 0.500, 0.500) [1 per cell]
Ga (0.000, 0.500, 0.500) [2 per cell]
Br (0.500, 0.500, 0.000) [1 per cell]

Final energy, eV per atom: -3.85
Total magnetic moment, μB per formula unit: 0.00
Uncorrected formation energy, eV/atom: -0.0926